Material: Pm5Cu4Ir
Method: DFT, GGA-PBE
State: optimized geometry

Geometry as POSCAR:
```
Pm5Cu4Ir
1.0
-2.351 -1.474 2.229
0.756 -3.215 -1.329
12.857 -2.029 12.222
Cu Pm Ir
4 5 1
Direct
0.000 0.000 0.600
0.000 0.000 0.201
0.000 0.000 0.400
0.000 0.000 0.799
0.500 0.500 0.095
0.500 0.500 0.905
0.500 0.500 0.701
0.500 0.500 0.299
0.500 0.500 0.500
0.000 0.000 0.000
```

## Properties
- size of the total moment (μB/f.u.) = 0.00
- symmetry = P4/mmm
- total DFT energy (no corrections) (eV/cell) = -51.6
- ΔH_f (0 K) (eV per atom) = -0.260



Material: Dy2PtAu2
Method: DFT, GGA-PBE
State: optimized geometry

Geometry as POSCAR:
```
Dy2PtAu2
1.0
3.600 0.000 0.000
0.000 3.880 0.735
0.000 0.498 7.977
Au Dy Pt
2 2 1
Direct
0.000 0.812 0.375
0.000 0.188 0.625
0.500 0.608 0.784
0.500 0.392 0.216
0.000 0.000 0.000
```

## Properties
- size of the total moment (μB/f.u.) = 0.00
- excess energy over the best structure of this formula in the dataset (meV per atom) = 0.0
- symmetry = Cmmm
- total DFT energy (no corrections) (eV/cell) = -26.4
- ΔH_f (0 K) (eV per atom) = -0.916



Material: CaCoNi
Method: DFT, GGA-PBE
State: optimized geometry

Geometry as POSCAR:
```
CaCoNi
1.0
-0.457 -0.165 4.368
-3.296 -2.298 1.779
0.839 -3.735 2.158
Ni Ca Co
1 1 1
Direct
0.500 0.500 0.500
0.250 0.250 0.250
0.000 0.000 0.000
```

## Properties
- size of the total moment (μB/f.u.) = 1.60
- excess energy over the best structure of this formula in the dataset (meV per atom) = 1071.5
- symmetry = F-43m
- total DFT energy (no corrections) (eV/cell) = -11.4
- ΔH_f (0 K) (eV per atom) = 1.172



Material: Ce3Sm4ScTe8
Method: DFT, GGA-PBE
State: optimized geometry

Geometry as POSCAR:
```
Ce3Sm4ScTe8
1.0
-0.553 4.438 -7.639
-7.838 3.326 2.500
7.086 1.014 5.204
Te Ce Sc Sm
8 3 1 4
Direct
0.759 0.745 0.002
0.757 0.255 0.514
0.249 0.247 0.498
0.243 0.745 0.002
0.751 0.753 0.502
0.241 0.255 0.998
0.243 0.745 0.486
0.757 0.255 0.998
0.500 0.500 0.500
0.000 0.500 0.500
0.500 0.500 0.000
0.000 0.500 0.000
0.500 0.000 0.500
0.000 0.000 0.000
0.500 0.000 0.000
0.000 0.000 0.500
```

## Properties
- size of the total moment (μB/f.u.) = 3.64
- symmetry = R-3m
- total DFT energy (no corrections) (eV/cell) = -89.5



Material: TbErCo
Method: DFT, GGA-PBE
State: optimized geometry

Geometry as POSCAR:
```
TbErCo
1.0
4.673 0.000 0.000
2.336 4.047 0.000
2.336 1.349 3.815
Co Tb Er
1 1 1
Direct
0.250 0.250 0.250
0.000 0.000 0.000
0.500 0.500 0.500
```

## Properties
- size of the total moment (μB/f.u.) = 0.00
- excess energy over the best structure of this formula in the dataset (meV per atom) = 81.4
- symmetry = F-43m
- total DFT energy (no corrections) (eV/cell) = -16.5
- ΔH_f (0 K) (eV per atom) = -0.063



Material: Pr4MgTe5
Method: DFT, GGA-PBE
State: optimized geometry

Geometry as POSCAR:
```
Pr4MgTe5
1.0
4.419 0.000 0.000
2.210 3.827 0.000
2.210 1.276 18.855
Pr Mg Te
4 1 5
Direct
0.702 0.702 0.894
0.100 0.100 0.699
0.298 0.298 0.106
0.900 0.900 0.301
0.500 0.500 0.500
0.401 0.401 0.796
0.804 0.804 0.588
0.196 0.196 0.412
0.000 0.000 0.000
0.599 0.599 0.204
```

## Properties
- size of the total moment (μB/f.u.) = 0.00
- excess energy over the best structure of this formula in the dataset (meV per atom) = 0.0
- symmetry = R-3m
- total DFT energy (no corrections) (eV/cell) = -49.4



Material: Cu5I3F12
Method: DFT, GGA-PBE
State: optimized geometry

Geometry as POSCAR:
```
Cu5I3F12
1.0
-1.344 -1.242 -11.878
-10.466 -2.231 5.471
3.505 11.225 2.483
F I Cu
48 12 20
Direct
0.654 0.024 0.676
0.478 0.348 0.324
0.976 0.630 0.652
0.154 0.978 0.130
0.824 0.978 0.348
0.024 0.370 0.348
0.652 0.130 0.976
0.978 0.824 0.848
0.024 0.654 0.176
0.524 0.848 0.870
0.346 0.976 0.324
0.870 0.348 0.524
0.152 0.476 0.630
0.824 0.846 0.976
0.348 0.478 0.824
0.176 0.154 0.024
0.130 0.478 0.154
0.370 0.346 0.022
0.154 0.176 0.524
0.022 0.846 0.370
0.176 0.022 0.652
0.846 0.824 0.476
0.524 0.676 0.154
0.324 0.848 0.478
0.476 0.152 0.130
0.522 0.870 0.346
0.654 0.630 0.478
0.130 0.652 0.476
0.346 0.370 0.522
0.152 0.676 0.022
0.476 0.324 0.846
0.976 0.346 0.824
0.978 0.154 0.630
0.846 0.022 0.870
0.676 0.524 0.654
0.870 0.522 0.846
0.676 0.152 0.522
0.848 0.324 0.978
0.630 0.976 0.152
0.324 0.476 0.346
0.522 0.652 0.676
0.630 0.654 0.978
0.022 0.176 0.152
0.848 0.524 0.370
0.370 0.024 0.848
0.652 0.522 0.176
0.348 0.870 0.024
0.478 0.130 0.654
0.375 0.625 0.250
0.875 0.125 0.250
0.125 0.875 0.750
0.625 0.250 0.375
0.250 0.125 0.375
0.625 0.375 0.750
0.750 0.375 0.125
0.875 0.750 0.125
0.750 0.875 0.625
0.375 0.750 0.625
0.250 0.625 0.875
0.125 0.250 0.875
0.000 0.500 0.500
0.000 0.000 0.000
0.625 0.750 0.875
0.375 0.250 0.125
0.000 0.500 0.000
0.750 0.625 0.375
0.125 0.750 0.375
0.250 0.875 0.125
0.500 0.000 0.000
0.500 0.000 0.500
0.875 0.625 0.750
0.625 0.875 0.250
0.500 0.500 0.500
0.000 0.000 0.500
0.250 0.375 0.625
0.125 0.375 0.250
0.500 0.500 0.000
0.750 0.125 0.875
0.375 0.125 0.750
0.875 0.250 0.625
```

## Properties
- size of the total moment (μB/f.u.) = 4.14
- symmetry = Ia-3d
- total DFT energy (no corrections) (eV/cell) = -271.0



Material: W2AuBr
Method: DFT, GGA-PBE
State: optimized geometry

Geometry as POSCAR:
```
W2AuBr
1.0
-0.209 1.073 -3.455
-3.178 -0.844 -0.070
-1.694 6.208 2.031
W Au Br
2 1 1
Direct
0.000 0.750 0.066
0.000 0.750 0.434
0.500 0.250 0.250
0.500 0.750 0.750
```

## Properties
- size of the total moment (μB/f.u.) = 0.00
- excess energy over the best structure of this formula in the dataset (meV per atom) = 395.5
- symmetry = Pmmm
- total DFT energy (no corrections) (eV/cell) = -27.1



Number 1 is which compound? Pm5Cu4Ir